VASP calculation (PBE-GGA) on a geometry-optimized SmY4Sb5 structure.

Cell lengths 4.407, 6.232, 22.026 Å; angles 90.00, 90.00, 90.00 degrees
Space group Immm (No. 71)
Unique sites:
Sm  0.000  0.000  0.000 (multiplicity 2)
Y  0.000  0.000  0.201 (multiplicity 4)
Y  0.000  0.000  0.400 (multiplicity 4)
Sb  0.000  0.500  0.000 (multiplicity 2)
Sb  0.000  0.500  0.200 (multiplicity 4)
Sb  0.000  0.500  0.398 (multiplicity 4)

Values from the calculation:
Formation energy (no corrections), meV/atom: -1167
Calculated density, Mg/m³: 6.12

---

VASP calculation (PBE-GGA) on a geometry-optimized PmNd2Ho3Er6 structure.

Cell lengths 6.159, 10.660, 11.730 Å; angles 90.00, 100.04, 90.00 degrees
Space group C2/m (No. 12)
Unique sites:
Pm  0.000  0.000  0.000 (multiplicity 2)
Nd  0.000  0.333  0.000 (multiplicity 4)
Ho  0.000  0.167  0.500 (multiplicity 4)
Ho  0.000  0.500  0.500 (multiplicity 2)
Er  0.248  0.000  0.746 (multiplicity 4)
Er  0.248  0.333  0.746 (multiplicity 8)

Values from the calculation:
Calculated density, Mg/m³: 8.46
E_form, meV/atom: 21